[1]
The following is a PBE-GGA calculation of an optimized crystal structure of RbCa4I8, from Alexandria via LeMat-Bulk.

As for the uncorrected formation energy: -1450 meV per atom. As for the space-group type: F-43m (216). The theoretical density is 3.306 Mg/m³.

Lattice parameters (Å, degrees): 9.6401 9.6401 9.6401 60.00 60.00 60.00
Positions (direct):
Rb 0.7500 0.7500 0.7500
I 0.6058 0.6058 0.1825
I 0.1360 0.1360 0.1360
I 0.5919 0.1360 0.1360
I 0.6058 0.6058 0.6058
I 0.1360 0.1360 0.5919
I 0.1825 0.6058 0.6058
I 0.6058 0.1825 0.6058
I 0.1360 0.5919 0.1360
Ca 0.3700 0.8899 0.3700
Ca 0.3700 0.3700 0.3700
Ca 0.3700 0.3700 0.8899
Ca 0.8899 0.3700 0.3700

[2]
The following is a PBE-GGA calculation of an optimized crystal structure of Rb2CaI, from Alexandria via LeMat-Bulk.

As for the uncorrected formation energy: -369 meV per atom. As for the space-group type: I-42d (122). The calculation puts the polymorph energy (0 for the lowest one) at 115 meV/atom. The theoretical density is 2.256 Mg/m³.

Lattice parameters (Å, degrees): 11.1820 11.1820 8.8516 50.83 50.83 90.00
Positions (direct):
Rb 0.3750 0.3097 0.7500
Rb 0.8750 0.9403 0.7500
Rb 0.0597 0.6250 0.2500
Rb 0.6903 0.1250 0.2500
Ca 0.2500 0.7500 0.5000
Ca 0.5000 0.5000 0.0000
I 0.7500 0.2500 0.5000
I 0.0000 0.0000 0.0000

[3]
The following is a PBE-GGA calculation of an optimized crystal structure of RbCa2I2, from Alexandria via LeMat-Bulk.

As for the uncorrected formation energy: -537 meV per atom. As for the space-group type: P4/mbm (127). The calculation puts the polymorph energy (0 for the lowest one) at 252 meV/atom. The theoretical density is 2.699 Mg/m³.

Lattice parameters (Å, degrees): 11.5498 11.5498 3.8694 90.00 90.00 90.00
Positions (direct):
Rb 0.0000 0.0000 0.0000
Rb 0.5000 0.5000 0.0000
I 0.3818 0.1182 0.5000
I 0.8818 0.3818 0.5000
I 0.1182 0.6182 0.5000
I 0.6182 0.8818 0.5000
Ca 0.8811 0.6189 0.0000
Ca 0.3811 0.8811 0.0000
Ca 0.1189 0.3811 0.0000
Ca 0.6189 0.1189 0.0000

[4]
The following is a PBE-GGA calculation of an optimized crystal structure of Rb2CaI, from Alexandria via LeMat-Bulk.

As for the uncorrected formation energy: -484 meV per atom. As for the space-group type: R-3m (166). The calculation puts the polymorph energy (0 for the lowest one) at 0 meV/atom. The theoretical density is 2.369 Mg/m³.

Lattice parameters (Å, degrees): 4.5413 4.5413 13.5188 80.33 80.33 60.00
Positions (direct):
Rb 0.1041 0.1041 0.6878
Rb 0.8959 0.8959 0.3122
Ca 0.0000 0.0000 0.0000
I 0.5000 0.5000 0.5000

[5]
The following is a PBE-GGA calculation of an optimized crystal structure of Rb2Ca2I5, from Alexandria via LeMat-Bulk.

As for the uncorrected formation energy: -1334 meV per atom. As for the space-group type: C2/m (12). The theoretical density is 3.396 Mg/m³.

Lattice parameters (Å, degrees): 6.2747 9.0139 9.1995 115.58 90.00 110.37
Positions (direct):
Ca 0.1548 0.3095 0.8875
Ca 0.8452 0.6905 0.1125
Rb 0.3902 0.7803 0.6904
Rb 0.6098 0.2197 0.3096
I 0.8509 0.7018 0.4496
I 0.6397 0.2794 0.8832
I 0.0000 0.0000 0.0000
I 0.1491 0.2982 0.5504
I 0.3603 0.7206 0.1168

[6]
The following is a PBE-GGA calculation of an optimized crystal structure of Rb4CaI6, from Alexandria via LeMat-Bulk.

As for the uncorrected formation energy: -1536 meV per atom. As for the space-group type: R-3c (167). The theoretical density is 3.566 Mg/m³.

Lattice parameters (Å, degrees): 10.2118 10.2118 10.2118 90.37 90.37 89.63
Positions (direct):
I 0.9312 0.7033 0.9428
I 0.0572 0.9312 0.2967
I 0.7033 0.0572 0.0688
I 0.5572 0.2033 0.5688
I 0.5688 0.4428 0.2033
I 0.4312 0.5572 0.7967
I 0.2033 0.4312 0.4428
I 0.0688 0.2967 0.0572
I 0.9428 0.0688 0.7033
I 0.2967 0.9428 0.9312
I 0.7967 0.5688 0.5572
I 0.4428 0.7967 0.4312
Rb 0.7500 0.7500 0.2500
Rb 0.2500 0.2500 0.7500
Rb 0.6316 0.8684 0.7500
Rb 0.3684 0.1316 0.2500
Rb 0.2500 0.6316 0.1316
Rb 0.1316 0.7500 0.6316
Rb 0.7500 0.3684 0.8684
Rb 0.8684 0.2500 0.3684
Ca 0.0000 0.0000 0.0000
Ca 0.5000 0.5000 0.5000

[7]
The following is a PBE-GGA calculation of an optimized crystal structure of RbCa2I2, from Alexandria via LeMat-Bulk.

As for the uncorrected formation energy: -788 meV per atom. As for the space-group type: I4/mmm (139). The calculation puts the polymorph energy (0 for the lowest one) at 0 meV/atom. The theoretical density is 2.974 Mg/m³.

Lattice parameters (Å, degrees): 5.7529 5.7529 8.1620 69.36 69.36 90.00
Positions (direct):
Rb 0.0000 0.0000 0.0000
Ca 0.3697 0.3697 0.2606
Ca 0.6303 0.6303 0.7394
I 0.2500 0.7500 0.5000
I 0.7500 0.2500 0.5000

[8]
The following is a PBE-GGA calculation of an optimized crystal structure of Rb2CaReI6, from Alexandria via LeMat-Bulk.

As for the uncorrected formation energy: -748 meV per atom. As for the space-group type: Fm-3m (225). The theoretical density is 4.798 Mg/m³.

Lattice parameters (Å, degrees): 8.2770 8.2770 8.2771 60.00 60.00 90.00
Positions (direct):
I 0.7645 0.2355 0.0000
I 0.7645 0.7645 0.0000
I 0.2355 0.7645 0.0000
I 0.7645 0.7645 0.4711
I 0.2355 0.2355 0.5289
I 0.2355 0.2355 0.0000
Ca 0.5000 0.5000 0.0000
Re 0.0000 0.0000 0.0000
Rb 0.7500 0.2500 0.5000
Rb 0.2500 0.7500 0.5000